1.
The following is a GGA-PBE calculation of a relaxed structure of Ta4ZnTe, from Alexandria via LeMat-Bulk.

abc: 5.553 5.553 5.553
angles: 60.00 60.00 60.00
Positions (direct):
Ta 0.880 0.373 0.373
Ta 0.373 0.373 0.880
Ta 0.373 0.880 0.373
Ta 0.373 0.373 0.373
Zn 0.000 0.000 0.000
Te 0.750 0.750 0.750

- total energy (eV per cell) = -48.437
- total magnetization (μB per formula unit) = 0.0
- raw formation energy (eV per atom) = 0.565

---

2.
The following is a GGA-PBE calculation of a relaxed structure of Ta2ZnTe, from Alexandria via LeMat-Bulk.

abc: 4.742 4.742 3.327
angles: 90.00 90.00 101.22
Positions (direct):
Ta 0.000 0.000 0.000
Ta 0.500 0.500 0.000
Te 0.500 0.000 0.500
Zn 0.000 0.500 0.500

- total energy (eV per cell) = -26.732
- total magnetization (μB per formula unit) = 0.0
- raw formation energy (eV per atom) = 0.347
- distance to the lowest polymorph of the same formula (kJ/mol of formula units) = 99

---

3.
The following is a GGA-PBE calculation of a relaxed structure of Ta2ZnTe, from Alexandria via LeMat-Bulk.

abc: 4.914 3.034 5.375
angles: 76.67 90.00 90.00
Positions (direct):
Ta 0.000 0.054 0.018
Ta 0.500 0.357 0.251
Te 0.000 0.357 0.483
Zn 0.500 0.732 0.749

- total energy (eV per cell) = -26.760
- total magnetization (μB per formula unit) = 0.0
- raw formation energy (eV per atom) = 0.340
- distance to the lowest polymorph of the same formula (kJ/mol of formula units) = 96

---

4.
The following is a GGA-PBE calculation of a relaxed structure of Ta2ZnTe, from Alexandria via LeMat-Bulk.

abc: 4.683 4.683 4.683
angles: 60.00 60.00 60.00
Positions (direct):
Zn 0.000 0.000 0.000
Te 0.500 0.500 0.500
Ta 0.250 0.250 0.250
Ta 0.750 0.750 0.750

- total energy (eV per cell) = -26.572
- total magnetization (μB per formula unit) = 0.0
- raw formation energy (eV per atom) = 0.387
- distance to the lowest polymorph of the same formula (kJ/mol of formula units) = 115

---

5.
The following is a GGA-PBE calculation of a relaxed structure of Ta2ZnTe, from Alexandria via LeMat-Bulk.

abc: 4.017 4.017 10.365
angles: 78.83 78.83 90.00
Positions (direct):
Zn 0.500 0.500 0.000
Zn 0.250 0.750 0.500
Te 0.000 0.000 0.000
Te 0.750 0.250 0.500
Ta 0.613 0.125 0.250
Ta 0.137 0.625 0.250
Ta 0.375 0.387 0.750
Ta 0.875 0.863 0.750

- total energy (eV per cell) = -52.851
- total magnetization (μB per formula unit) = 0.0
- raw formation energy (eV per atom) = 0.424
- distance to the lowest polymorph of the same formula (kJ/mol of formula units) = 129

---

6.
The following is a GGA-PBE calculation of a relaxed structure of Ta2ZnTe, from Alexandria via LeMat-Bulk.

abc: 5.209 5.209 4.779
angles: 76.88 76.88 36.14
Positions (direct):
Ta 0.981 0.981 0.059
Ta 0.767 0.767 0.701
Te 0.506 0.506 0.544
Zn 0.246 0.246 0.195

- total energy (eV per cell) = -27.133
- total magnetization (μB per formula unit) = 0.0
- raw formation energy (eV per atom) = 0.247
- distance to the lowest polymorph of the same formula (kJ/mol of formula units) = 60

---

7.
The following is a GGA-PBE calculation of a relaxed structure of Ta2ZnTe, from Alexandria via LeMat-Bulk.

abc: 5.395 5.395 5.395
angles: 141.91 129.17 65.25
Positions (direct):
Ta 0.997 0.997 0.000
Ta 0.753 0.253 0.500
Te 0.504 0.504 0.000
Zn 0.246 0.746 0.500

- total energy (eV per cell) = -27.063
- total magnetization (μB per formula unit) = 0.0
- raw formation energy (eV per atom) = 0.264
- distance to the lowest polymorph of the same formula (kJ/mol of formula units) = 67

---

8.
The following is a GGA-PBE calculation of a relaxed structure of Ta2Zn2Te, from Alexandria via LeMat-Bulk.

abc: 3.877 3.877 7.179
angles: 74.33 74.33 90.00
Positions (direct):
Zn 0.403 0.403 0.193
Zn 0.597 0.597 0.807
Te 0.000 0.000 0.000
Ta 0.750 0.250 0.500
Ta 0.250 0.750 0.500

- total energy (eV per cell) = -26.688
- total magnetization (μB per formula unit) = 0.0
- raw formation energy (eV per atom) = 0.541
- distance to the lowest polymorph of the same formula (kJ/mol of formula units) = 25

---

9.
The following is a GGA-PBE calculation of a relaxed structure of Ta2ZnTe, from Alexandria via LeMat-Bulk.

abc: 3.464 3.465 6.144
angles: 90.00 90.00 90.00
Positions (direct):
Ta 0.000 0.000 0.973
Ta 0.000 0.000 0.527
Te 0.500 0.500 0.250
Zn 0.500 0.500 0.750

- total energy (eV per cell) = -26.916
- total magnetization (μB per formula unit) = 0.0
- raw formation energy (eV per atom) = 0.301
- distance to the lowest polymorph of the same formula (kJ/mol of formula units) = 81

---

10.
The following is a GGA-PBE calculation of a relaxed structure of Ta3ZnTe, from Alexandria via LeMat-Bulk.

abc: 4.749 4.749 4.749
angles: 90.00 90.00 90.00
Positions (direct):
Zn 0.000 0.000 0.000
Te 0.500 0.500 0.500
Ta 0.000 0.500 0.000
Ta 0.000 0.000 0.500
Ta 0.500 0.000 0.000

- total energy (eV per cell) = -33.419
- total magnetization (μB per formula unit) = 0.0
- raw formation energy (eV per atom) = 1.311
- distance to the lowest polymorph of the same formula (kJ/mol of formula units) = 0

---

11.
The following is a GGA-PBE calculation of a relaxed structure of TaZn3Te, from Alexandria via LeMat-Bulk.

abc: 5.076 5.076 5.076
angles: 90.00 90.00 90.00
Last column: magnetic moment on the atom in μB.
Positions (direct):
Zn 0.000 0.500 0.000  0.01
Zn 0.000 0.000 0.500  -0.02
Zn 0.500 0.000 0.000  0.00
Te 0.000 0.000 0.000  0.06
Ta 0.500 0.500 0.500  1.77

- total energy (eV per cell) = -11.427
- total magnetization (μB per formula unit) = 2.8
- raw formation energy (eV per atom) = 1.478
- distance to the lowest polymorph of the same formula (kJ/mol of formula units) = 223

---

12.
The following is a GGA-PBE calculation of a relaxed structure of Ta2ZnTe, from Alexandria via LeMat-Bulk.

abc: 9.167 9.167 9.167
angles: 20.68 20.68 20.68
Positions (direct):
Ta 0.997 0.997 0.997
Ta 0.254 0.254 0.254
Te 0.509 0.509 0.509
Zn 0.741 0.741 0.741

- total energy (eV per cell) = -27.305
- total magnetization (μB per formula unit) = 0.0
- raw formation energy (eV per atom) = 0.204
- distance to the lowest polymorph of the same formula (kJ/mol of formula units) = 44

---

> Which formula does entry 7 have?

Ta2ZnTe